<a>
DFT (PBE) results for a relaxed Pm4NdEr2 crystal.

Cell lengths 12.570, 6.813, 13.547 Å; angles 67.06, 29.95, 82.99 degrees
Atoms (fractional coordinates):
Pm (0.146, 0.302, 0.068)
Pm (0.182, 0.766, 0.104)
Pm (0.302, 0.146, 0.484)
Pm (0.378, 0.622, 0.479)
Pm (0.622, 0.378, 0.521)
Pm (0.729, 0.771, 0.628)
Pm (0.766, 0.182, 0.948)
Pm (0.771, 0.729, 0.872)
Nd (0.014, 0.014, 0.986)
Nd (0.264, 0.264, 0.236)
Er (0.207, 0.693, 0.361)
Er (0.510, 0.889, 0.557)
Er (0.693, 0.207, 0.740)
Er (0.889, 0.510, 0.043)

Output
SG: Fdd2, No. 43
magnetization: 0.0 μB/cell

---

<b>
DFT (PBE) results for a relaxed Pm4NdEr2 crystal.

Cell lengths 9.033, 9.033, 9.033 Å; angles 135.45, 101.16, 95.39 degrees
Atoms (fractional coordinates):
Pm (0.149, 0.147, 0.001)
Pm (0.240, 0.212, 0.472)
Pm (0.240, 0.769, 0.028)
Pm (0.354, 0.853, 0.501)
Pm (0.646, 0.147, 0.499)
Pm (0.760, 0.231, 0.972)
Pm (0.760, 0.788, 0.528)
Pm (0.851, 0.853, 0.999)
Nd (0.500, 0.000, 0.000)
Nd (0.500, 0.500, 0.500)
Er (0.000, 0.500, 0.500)
Er (0.030, 0.280, 0.750)
Er (0.500, 0.500, 0.000)
Er (0.970, 0.720, 0.250)

Output
SG: Imma, No. 74
magnetization: 0.0 μB/cell

---

It comes down to <a>, which is 202 meV per atom more stable than the next structure.

---

<a>
DFT (PBE) results for a relaxed Pm7NdEr3 crystal.

Cell lengths 7.188, 7.188, 8.657 Å; angles 90.00, 90.00, 120.00 degrees
Atoms (fractional coordinates):
Pm (0.000, 0.000, 0.000)
Pm (0.166, 0.332, 0.666)
Pm (0.166, 0.834, 0.666)
Pm (0.501, 0.001, 0.015)
Pm (0.501, 0.499, 0.015)
Pm (0.668, 0.834, 0.666)
Pm (0.999, 0.499, 0.015)
Nd (0.667, 0.333, 0.681)
Er (0.333, 0.166, 0.340)
Er (0.834, 0.166, 0.340)
Er (0.834, 0.667, 0.340)

Output
SG: P3m1, No. 156
magnetization: 0.0 μB/cell

---

<b>
DFT (PBE) results for a relaxed Pm7NdEr3 crystal.

Cell lengths 7.767, 7.767, 6.425 Å; angles 94.54, 94.54, 81.57 degrees
Atoms (fractional coordinates):
Pm (0.000, 0.000, 0.000)
Pm (0.077, 0.427, 0.260)
Pm (0.265, 0.265, 0.787)
Pm (0.427, 0.077, 0.260)
Pm (0.573, 0.923, 0.740)
Pm (0.735, 0.735, 0.213)
Pm (0.923, 0.573, 0.740)
Nd (0.000, 0.000, 0.500)
Er (0.331, 0.669, 0.000)
Er (0.500, 0.500, 0.500)
Er (0.669, 0.331, 0.000)

Output
SG: C2/m, No. 12
magnetization: 0.0 μB/cell

---

It comes down to <a>, which is 38 meV per atom more stable than the next structure.

---

<a>
DFT (PBE) results for a relaxed Pm3Nd2Er3 crystal.

Cell lengths 5.787, 14.651, 6.319 Å; angles 90.00, 90.00, 90.00 degrees
Atoms (fractional coordinates):
Pm (0.250, 0.124, 0.165)
Pm (0.250, 0.376, 0.165)
Pm (0.250, 0.750, 0.668)
Pm (0.750, 0.250, 0.332)
Pm (0.750, 0.624, 0.835)
Pm (0.750, 0.876, 0.835)
Nd (0.250, 0.624, 0.170)
Nd (0.250, 0.876, 0.170)
Nd (0.750, 0.124, 0.830)
Nd (0.750, 0.376, 0.830)
Er (0.250, 0.000, 0.665)
Er (0.250, 0.250, 0.662)
Er (0.250, 0.500, 0.665)
Er (0.750, 0.000, 0.335)
Er (0.750, 0.500, 0.335)
Er (0.750, 0.750, 0.338)

Output
SG: Pmmn, No. 59
magnetization: 0.0 μB/cell

---

<b>
DFT (PBE) results for a relaxed Pm3Nd2Er3 crystal.

Cell lengths 10.796, 10.796, 10.796 Å; angles 152.73, 152.64, 39.02 degrees
Atoms (fractional coordinates):
Pm (0.000, 0.000, 0.000)
Pm (0.377, 0.877, 0.500)
Pm (0.623, 0.123, 0.500)
Nd (0.250, 0.250, 0.000)
Nd (0.750, 0.750, 0.000)
Er (0.124, 0.624, 0.500)
Er (0.500, 0.500, 0.000)
Er (0.876, 0.376, 0.500)

Output
SG: Immm, No. 71
magnetization: 0.0 μB/cell

---

It comes down to <b>, which is 6 meV per atom more stable than the next structure.

---

<a>
DFT (PBE) results for a relaxed Pm2Nd5Er3 crystal.

Cell lengths 9.303, 9.303, 9.958 Å; angles 108.58, 108.58, 108.34 degrees
Atoms (fractional coordinates):
Pm (0.028, 0.272, 0.056)
Pm (0.272, 0.028, 0.556)
Pm (0.728, 0.972, 0.444)
Pm (0.972, 0.728, 0.944)
Nd (0.138, 0.379, 0.763)
Nd (0.228, 0.772, 0.750)
Nd (0.268, 0.732, 0.250)
Nd (0.379, 0.138, 0.263)
Nd (0.473, 0.527, 0.250)
Nd (0.527, 0.473, 0.750)
Nd (0.621, 0.862, 0.737)
Nd (0.732, 0.268, 0.750)
Nd (0.772, 0.228, 0.250)
Nd (0.862, 0.621, 0.237)
Er (0.021, 0.979, 0.750)
Er (0.220, 0.466, 0.447)
Er (0.466, 0.220, 0.947)
Er (0.534, 0.780, 0.053)
Er (0.780, 0.534, 0.553)
Er (0.979, 0.021, 0.250)

Output
SG: C2/c, No. 15
magnetization: 0.0 μB/cell

---

<b>
DFT (PBE) results for a relaxed Pm2Nd5Er3 crystal.

Cell lengths 12.478, 12.478, 12.478 Å; angles 135.44, 55.89, 148.03 degrees
Atoms (fractional coordinates):
Pm (0.121, 0.098, 0.219)
Pm (0.379, 0.598, 0.977)
Pm (0.621, 0.402, 0.023)
Pm (0.879, 0.902, 0.781)
Nd (0.003, 0.250, 0.753)
Nd (0.127, 0.404, 0.531)
Nd (0.250, 0.750, 0.500)
Nd (0.373, 0.904, 0.277)
Nd (0.497, 0.250, 0.247)
Nd (0.503, 0.750, 0.753)
Nd (0.627, 0.096, 0.723)
Nd (0.750, 0.250, 0.500)
Nd (0.873, 0.596, 0.469)
Nd (0.997, 0.750, 0.247)
Er (0.119, 0.754, 0.873)
Er (0.250, 0.250, 0.000)
Er (0.381, 0.254, 0.634)
Er (0.619, 0.746, 0.366)
Er (0.750, 0.750, 0.000)
Er (0.881, 0.246, 0.127)

Output
SG: Ibam, No. 72
magnetization: 0.0 μB/cell

---

It comes down to <a>, which is 184 meV per atom more stable than the next structure.

---

<a>
DFT (PBE) results for a relaxed Pm5NdEr3 crystal.

Cell lengths 11.055, 11.055, 11.055 Å; angles 137.33, 137.33, 61.94 degrees
Atoms (fractional coordinates):
Pm (0.000, 0.000, 0.000)
Pm (0.070, 0.570, 0.905)
Pm (0.165, 0.070, 0.500)
Pm (0.335, 0.835, 0.905)
Pm (0.430, 0.335, 0.500)
Pm (0.500, 0.500, 0.000)
Pm (0.570, 0.665, 0.500)
Pm (0.665, 0.165, 0.095)
Pm (0.835, 0.930, 0.500)
Pm (0.930, 0.430, 0.095)
Nd (0.250, 0.750, 0.500)
Nd (0.750, 0.250, 0.500)
Er (0.129, 0.371, 0.500)
Er (0.250, 0.250, 0.000)
Er (0.371, 0.871, 0.243)
Er (0.629, 0.129, 0.757)
Er (0.750, 0.750, 0.000)
Er (0.871, 0.629, 0.500)

Output
SG: I4/mcm, No. 140
magnetization: 0.0 μB/cell

---

<b>
DFT (PBE) results for a relaxed Pm5NdEr3 crystal.

Cell lengths 8.894, 8.894, 11.599 Å; angles 108.57, 108.57, 44.68 degrees
Atoms (fractional coordinates):
Pm (0.106, 0.117, 0.552)
Pm (0.117, 0.106, 0.052)
Pm (0.188, 0.812, 0.750)
Pm (0.239, 0.418, 0.654)
Pm (0.418, 0.239, 0.154)
Pm (0.582, 0.761, 0.846)
Pm (0.761, 0.582, 0.346)
Pm (0.812, 0.188, 0.250)
Pm (0.883, 0.894, 0.948)
Pm (0.894, 0.883, 0.448)
Nd (0.258, 0.742, 0.250)
Nd (0.742, 0.258, 0.750)
Er (0.141, 0.339, 0.873)
Er (0.339, 0.141, 0.373)
Er (0.500, 0.500, 0.000)
Er (0.500, 0.500, 0.500)
Er (0.661, 0.859, 0.627)
Er (0.859, 0.661, 0.127)

Output
SG: C2/c, No. 15
magnetization: 0.0 μB/cell

---

It comes down to <b>, which is 110 meV per atom more stable than the next structure.

---

<a>
DFT (PBE) results for a relaxed Pm3Nd7Er crystal.

Cell lengths 8.621, 8.621, 5.985 Å; angles 110.26, 110.26, 82.86 degrees
Atoms (fractional coordinates):
Pm (0.000, 0.000, 0.000)
Pm (0.208, 0.792, 0.500)
Pm (0.792, 0.208, 0.500)
Nd (0.012, 0.598, 0.804)
Nd (0.210, 0.210, 0.711)
Nd (0.402, 0.988, 0.196)
Nd (0.500, 0.500, 0.500)
Nd (0.598, 0.012, 0.804)
Nd (0.790, 0.790, 0.289)
Nd (0.988, 0.402, 0.196)
Er (0.500, 0.500, 0.000)

Output
SG: C2/m, No. 12
magnetization: 0.0 μB/cell

---

<b>
DFT (PBE) results for a relaxed Pm3Nd7Er crystal.

Cell lengths 7.125, 11.289, 10.298 Å; angles 90.00, 109.82, 90.00 degrees
Atoms (fractional coordinates):
Pm (0.000, 0.000, 0.000)
Pm (0.000, 0.500, 0.000)
Pm (0.247, 0.250, 0.474)
Pm (0.274, 0.750, 0.517)
Pm (0.726, 0.250, 0.483)
Pm (0.753, 0.750, 0.526)
Nd (0.093, 0.045, 0.682)
Nd (0.093, 0.455, 0.682)
Nd (0.168, 0.750, 0.823)
Nd (0.302, 0.250, 0.102)
Nd (0.353, 0.750, 0.170)
Nd (0.416, 0.010, 0.327)
Nd (0.416, 0.490, 0.327)
Nd (0.584, 0.510, 0.673)
Nd (0.584, 0.990, 0.673)
Nd (0.647, 0.250, 0.830)
Nd (0.698, 0.750, 0.898)
Nd (0.832, 0.250, 0.177)
Nd (0.907, 0.545, 0.318)
Nd (0.907, 0.955, 0.318)
Er (0.500, 0.000, 0.000)
Er (0.500, 0.500, 0.000)

Output
SG: P2_1/m, No. 11
magnetization: 0.0 μB/cell

---

It comes down to <b>, which is 107 meV per atom more stable than the next structure.

---

<a>
DFT (PBE) results for a relaxed Pm2Nd3Er3 crystal.

Cell lengths 10.820, 10.820, 10.820 Å; angles 152.82, 152.66, 38.93 degrees
Atoms (fractional coordinates):
Pm (0.249, 0.249, 0.000)
Pm (0.751, 0.751, 0.000)
Nd (0.000, 0.000, 0.000)
Nd (0.377, 0.877, 0.500)
Nd (0.623, 0.123, 0.500)
Er (0.125, 0.625, 0.500)
Er (0.500, 0.500, 0.000)
Er (0.875, 0.375, 0.500)

Output
SG: Immm, No. 71
magnetization: 0.0 μB/cell

---

<b>
DFT (PBE) results for a relaxed Pm2Nd3Er3 crystal.

Cell lengths 5.797, 14.665, 6.322 Å; angles 90.00, 90.00, 90.00 degrees
Atoms (fractional coordinates):
Pm (0.250, 0.124, 0.170)
Pm (0.250, 0.376, 0.170)
Pm (0.750, 0.624, 0.830)
Pm (0.750, 0.876, 0.830)
Nd (0.249, 0.250, 0.666)
Nd (0.250, 0.624, 0.165)
Nd (0.250, 0.876, 0.165)
Nd (0.750, 0.124, 0.835)
Nd (0.750, 0.376, 0.835)
Nd (0.751, 0.750, 0.334)
Er (0.250, 0.501, 0.665)
Er (0.250, 0.999, 0.665)
Er (0.251, 0.750, 0.665)
Er (0.749, 0.250, 0.335)
Er (0.750, 0.001, 0.335)
Er (0.750, 0.499, 0.335)

Output
SG: P2_1/m, No. 11
magnetization: 0.0 μB/cell

---

It comes down to <a>, which is 7 meV per atom more stable than the next structure.

---

<a>
DFT (PBE) results for a relaxed Pm3Nd2Er8 crystal.

Cell lengths 10.956, 10.956, 5.576 Å; angles 90.02, 90.02, 40.94 degrees
Atoms (fractional coordinates):
Pm (0.000, 0.000, 0.000)
Pm (0.292, 0.708, 0.500)
Pm (0.708, 0.292, 0.500)
Nd (0.241, 0.241, 0.999)
Nd (0.759, 0.759, 0.001)
Er (0.130, 0.130, 0.500)
Er (0.181, 0.603, 0.000)
Er (0.336, 0.336, 0.500)
Er (0.397, 0.819, 0.000)
Er (0.603, 0.181, 0.000)
Er (0.664, 0.664, 0.500)
Er (0.819, 0.397, 0.000)
Er (0.870, 0.870, 0.500)

Output
SG: C2/m, No. 12
magnetization: 0.0 μB/cell

---

<b>
DFT (PBE) results for a relaxed Pm3Nd2Er8 crystal.

Cell lengths 8.646, 8.646, 6.922 Å; angles 105.75, 105.75, 64.04 degrees
Atoms (fractional coordinates):
Pm (0.000, 0.000, 0.000)
Pm (0.176, 0.824, 0.500)
Pm (0.824, 0.176, 0.500)
Nd (0.221, 0.221, 0.421)
Nd (0.779, 0.779, 0.579)
Er (0.193, 0.193, 0.895)
Er (0.201, 0.563, 0.828)
Er (0.420, 0.420, 0.266)
Er (0.437, 0.799, 0.172)
Er (0.563, 0.201, 0.828)
Er (0.580, 0.580, 0.734)
Er (0.799, 0.437, 0.172)
Er (0.807, 0.807, 0.105)

Output
SG: C2/m, No. 12
magnetization: 0.0 μB/cell

---

It comes down to <b>, which is 19 meV per atom more stable than the next structure.